Computed, not measured: an optimized crystal structure of Cs3K2O at the PBE level of DFT.

formation energy without anion corrections: -495 meV/atom
DOS(E_F): 0.5611 states/eV per atom
final energy: -2.11 eV per atom

Lattice parameters (Å, degrees): 18.2867 13.0045 7.6615 90.00 90.00 90.00
Space group Cmcm (No. 63)
Inequivalent atoms, fractional coordinates:
Cs: 0.0000 0.2422 0.2500 (multiplicity 4)
Cs: 0.1747 0.1404 0.7500 (multiplicity 8)
K: 0.0883 0.5000 0.0000 (multiplicity 8)
O: 0.0000 0.4433 0.2500 (multiplicity 4)



Computed, not measured: an optimized crystal structure of Mg2TlFe at the PBE level of DFT.

energy above the most stable polymorph in this dataset: 0.087 eV/atom
calculated formation energy: 0.270 eV/atom
DOS(E_F): 0.7526 states/eV per atom
final energy: -3.23 eV per atom

Lattice parameters (Å, degrees): 3.1337 4.4505 5.9266 90.00 105.29 90.00
Space group Pm (No. 6)
Inequivalent atoms, fractional coordinates:
Mg: 0.0000 0.0000 0.0000 (multiplicity 1)
Mg: 0.3478 0.5000 0.6982 (multiplicity 1)
Tl: 0.6222 0.5000 0.2410 (multiplicity 1)
Fe: 0.7573 0.0000 0.5182 (multiplicity 1)



Computed, not measured: an optimized crystal structure of Y2CdSn at the PBE level of DFT.

calculated formation energy: -0.535 eV/atom
DOS(E_F): 0.8470 states/eV per atom
final energy: -5.00 eV per atom

Lattice parameters (Å, degrees): 5.0353 5.0353 4.1528 90.00 90.00 90.00
Space group P4/mmm (No. 123)
Inequivalent atoms, fractional coordinates:
Y: 0.0000 0.5000 0.0000 (multiplicity 2)
Cd: 0.0000 0.0000 0.5000 (multiplicity 1)
Sn: 0.5000 0.5000 0.5000 (multiplicity 1)